a:
Entry from the Alexandria database: crystalline CaPm4 at its relaxed geometry (PBE-GGA).

Values from the calculation:
- Space group: Immm
- Spin magnetization: 0.0000 μB per atom
- Fermi-level density of states: 1.46 states/eV/atom

The structure in POSCAR format:
```
CaPm4
1.0
-1.828 2.925 8.349
1.828 -2.925 8.349
1.828 2.925 -8.349
Ca Pm
1 4
direct
0.000 0.000 0.000 Ca
0.216 0.716 0.500 Pm
0.400 0.400 0.000 Pm
0.600 0.600 0.000 Pm
0.784 0.284 0.500 Pm
```



b:
Entry from the Alexandria database: crystalline CaPm4 at its relaxed geometry (PBE-GGA).

Values from the calculation:
- Space group: Pm-3m
- Spin magnetization: 0.0001 μB per atom
- Fermi-level density of states: 1.42 states/eV/atom

The structure in POSCAR format:
```
CaPm4
1.0
5.781 0.000 0.000
0.000 5.781 0.000
0.000 0.000 5.781
Ca Pm
1 4
direct
0.000 0.000 0.000 Ca
0.000 0.000 0.500 Pm
0.000 0.500 0.000 Pm
0.500 0.000 0.000 Pm
0.500 0.500 0.500 Pm
```



It is a that is the most stable of them.



a:
Entry from the Alexandria database: crystalline CaPm4Pr at its relaxed geometry (PBE-GGA).

Values from the calculation:
- Space group: F-43m
- Spin magnetization: 0.0000 μB per atom
- Fermi-level density of states: 1.30 states/eV/atom

The structure in POSCAR format:
```
CaPm4Pr
1.0
0.000 4.822 4.822
4.822 0.000 4.822
4.822 4.822 0.000
Ca Pm Pr
1 4 1
direct
0.000 0.000 0.000 Ca
0.129 0.624 0.624 Pm
0.624 0.129 0.624 Pm
0.624 0.624 0.129 Pm
0.624 0.624 0.624 Pm
0.250 0.250 0.250 Pr
```



b:
Entry from the Alexandria database: crystalline CaPm4Pr at its relaxed geometry (PBE-GGA).

Values from the calculation:
- Space group: Imm2
- Spin magnetization: 0.0001 μB per atom
- Fermi-level density of states: 1.65 states/eV/atom

The structure in POSCAR format:
```
CaPm4Pr
1.0
-1.794 3.327 9.089
1.794 -3.327 9.089
1.794 3.327 -9.089
Ca Pm Pr
1 4 1
direct
0.000 0.000 0.000 Ca
0.097 0.338 0.759 Pm
0.511 0.511 0.000 Pm
0.580 0.338 0.241 Pm
0.674 0.174 0.500 Pm
0.183 0.683 0.500 Pr
```



c:
Entry from the Alexandria database: crystalline CaPm4Pr at its relaxed geometry (PBE-GGA).

Values from the calculation:
- Space group: C2/m
- Spin magnetization: 0.0000 μB per atom
- Fermi-level density of states: 1.54 states/eV/atom

The structure in POSCAR format:
```
CaPm4Pr
1.0
6.138 -1.836 0.000
6.138 1.836 0.000
-4.473 0.000 9.472
Ca Pm Pr
1 4 1
direct
0.000 0.000 0.000 Ca
0.332 0.332 0.173 Pm
0.332 0.332 0.661 Pm
0.668 0.668 0.339 Pm
0.668 0.668 0.827 Pm
0.000 0.000 0.500 Pr
```



It is c that is the most stable of them.



a:
Entry from the Alexandria database: crystalline CaPm2Pr at its relaxed geometry (PBE-GGA).

Values from the calculation:
- Space group: R3m
- Spin magnetization: 0.0000 μB per atom
- Fermi-level density of states: 1.64 states/eV/atom

The structure in POSCAR format:
```
CaPm2Pr
1.0
1.852 1.069 12.248
-1.852 1.069 12.248
0.000 -2.138 12.248
Ca Pm Pr
1 2 1
direct
0.000 0.000 0.000 Ca
0.247 0.247 0.247 Pm
0.420 0.420 0.420 Pm
0.834 0.834 0.834 Pr
```



b:
Entry from the Alexandria database: crystalline CaPm2Pr at its relaxed geometry (PBE-GGA).

Values from the calculation:
- Space group: Fm-3m
- Spin magnetization: 0.0011 μB per atom
- Fermi-level density of states: 2.02 states/eV/atom

The structure in POSCAR format:
```
CaPm2Pr
1.0
0.000 4.167 4.167
4.167 0.000 4.167
4.167 4.167 0.000
Ca Pm Pr
1 2 1
direct
0.000 0.000 0.000 Ca
0.250 0.250 0.250 Pm
0.750 0.750 0.750 Pm
0.500 0.500 0.500 Pr
```



It is a that is the most stable of them.